Record 1
The following is a DFT calculation (PBE) of a relaxed Na2Ca5Zn2 crystal.

**M_tot**: 0.00 μB per formula unit
**Total DFT energy (no corrections)**: -31.71 eV per cell
**Formation energy from the elements**: -0.07 eV per atom

Unit cell a=7.9175 b=7.9041 c=10.7791 alpha=90.00 beta=68.45 gamma=90.00
Last column: nearest neighbours and their distance in Å.
Fractional coordinates of all 18 atoms:
Na (0.2317, 0.0000, 0.5365)  6 Ca 3.75-3.80, 4 Na 4.02-4.03
Na (0.7317, 0.5000, 0.5365)  6 Ca 3.75-3.80, 4 Na 4.02-4.03
Na (0.7683, 0.0000, 0.4635)  6 Ca 3.75-3.80, 4 Na 4.02-4.03
Na (0.2683, 0.5000, 0.4635)  6 Ca 3.75-3.80, 4 Na 4.02-4.03
Ca (0.0000, 0.0000, 0.0000)  4 Zn 3.17
Ca (0.5000, 0.5000, 0.0000)  4 Zn 3.17
Ca (0.4321, 0.1775, 0.7806)  3 Zn 3.18-3.24
Ca (0.7873, 0.8225, 0.7806)  3 Zn 3.18-3.24
Ca (0.2873, 0.6775, 0.7806)  3 Zn 3.18-3.24
Ca (0.9321, 0.3225, 0.7806)  3 Zn 3.18-3.24
Ca (0.5679, 0.8225, 0.2194)  3 Zn 3.18-3.24
Ca (0.2127, 0.1775, 0.2194)  3 Zn 3.18-3.24
Ca (0.7127, 0.3225, 0.2194)  3 Zn 3.18-3.24
Ca (0.0679, 0.6775, 0.2194)  3 Zn 3.18-3.24
Zn (0.1167, 0.3830, 0.0000)  1 Zn 2.61
Zn (0.8833, 0.6170, 0.0000)  1 Zn 2.61
Zn (0.3833, 0.8830, 0.0000)  1 Zn 2.61
Zn (0.6167, 0.1170, 0.0000)  1 Zn 2.61

***

Record 2
The following is a DFT calculation (PBE) of a relaxed NaCa2Zn2 crystal.

**M_tot**: 0.00 μB per formula unit
**E above lowest polymorph**: 138 meV per atom
**Total DFT energy (no corrections)**: -7.97 eV per cell
**Formation energy from the elements**: -0.02 eV per atom

Unit cell a=5.8257 b=5.8257 c=6.0002 alpha=60.96 beta=60.96 gamma=90.00
Last column: nearest neighbours and their distance in Å.
Fractional coordinates of all 5 atoms:
Na (0.0000, 0.0000, 0.0000)  2 Zn 3.16
Zn (0.3623, 0.3623, 0.2754)  1 Zn 2.40
Zn (0.6377, 0.6377, 0.7246)  1 Zn 2.40
Ca (0.7500, 0.2500, 0.5000)  4 Zn 3.07
Ca (0.2500, 0.7500, 0.5000)  4 Zn 3.07

***

Record 3
The following is a DFT calculation (PBE) of a relaxed Na2Ca8Zn crystal.

**M_tot**: 0.00 μB per formula unit
**Total DFT energy (no corrections)**: -19.84 eV per cell
**Formation energy from the elements**: 0.01 eV per atom

Unit cell a=5.8460 b=7.3388 c=10.0916 alpha=96.23 beta=106.84 gamma=90.00
Last column: nearest neighbours and their distance in Å.
Fractional coordinates of all 11 atoms:
Na (0.8380, 0.8356, 0.6761)  8 Ca 3.48-3.77
Na (0.1620, 0.1644, 0.3239)  8 Ca 3.48-3.77
Ca (0.4140, 0.6014, 0.8280)  1 Zn 3.20
Ca (0.6527, 0.9060, 0.3053)  1 Zn 3.10
Ca (0.7852, 0.3659, 0.5704)  1 Na 3.48, 6 Ca 3.81-3.88
Ca (0.0266, 0.7678, 0.0532)  2 Zn 3.45, 3 Ca 3.67-3.76, 2 Na 3.69-3.73
Ca (0.2148, 0.6341, 0.4296)  1 Na 3.48, 6 Ca 3.81-3.88
Ca (0.3473, 0.0940, 0.6947)  1 Zn 3.10
Ca (0.5860, 0.3986, 0.1720)  1 Zn 3.20
Ca (0.9734, 0.2322, 0.9468)  2 Zn 3.45, 3 Ca 3.67-3.76, 2 Na 3.69-3.73
Zn (0.5000, 0.0000, 0.0000)  8 Ca 3.10-3.45

***

Record 4
The following is a DFT calculation (PBE) of a relaxed Na2CaZn2 crystal.

**M_tot**: 0.00 μB per formula unit
**E above lowest polymorph**: 58 meV per atom
**Total DFT energy (no corrections)**: -13.50 eV per cell
**Formation energy from the elements**: 0.09 eV per atom

Unit cell a=8.5697 b=8.5697 c=3.4706 alpha=90.00 beta=90.00 gamma=90.00
Last column: nearest neighbours and their distance in Å.
Fractional coordinates of all 10 atoms:
Na (0.3797, 0.8797, 0.0000)  1 Na 2.92, 6 Zn 2.96-3.16
Na (0.8797, 0.6203, 0.0000)  1 Na 2.92, 6 Zn 2.96-3.16
Na (0.6203, 0.1203, 0.0000)  1 Na 2.92, 6 Zn 2.96-3.16
Na (0.1203, 0.3797, 0.0000)  1 Na 2.92, 6 Zn 2.96-3.16
Zn (0.1818, 0.6818, 0.5000)  6 Na 2.96-3.16
Zn (0.6818, 0.8182, 0.5000)  6 Na 2.96-3.16
Zn (0.8182, 0.3182, 0.5000)  6 Na 2.96-3.16
Zn (0.3182, 0.1818, 0.5000)  6 Na 2.96-3.16
Ca (0.0000, 0.0000, 0.0000)  4 Na 3.41, 2 Ca 3.47, 8 Zn 3.59
Ca (0.5000, 0.5000, 0.0000)  4 Na 3.41, 2 Ca 3.47, 8 Zn 3.59

***

Record 5
The following is a DFT calculation (PBE) of a relaxed NaCaZn2 crystal.

**M_tot**: 0.00 μB per formula unit
**E above lowest polymorph**: 179 meV per atom
**Total DFT energy (no corrections)**: -10.59 eV per cell
**Formation energy from the elements**: 0.14 eV per atom

Unit cell a=8.1271 b=8.1271 c=6.5586 alpha=51.72 beta=51.72 gamma=90.00
Last column: nearest neighbours and their distance in Å.
Fractional coordinates of all 8 atoms:
Na (0.5000, 0.5000, 0.0000)  4 Zn 2.90, 2 Ca 3.16
Na (0.2500, 0.7500, 0.5000)  4 Zn 2.90, 2 Ca 3.16
Zn (0.6111, 0.1250, 0.2500)  2 Na 2.90, 2 Ca 3.06, 2 Zn 3.17
Zn (0.1389, 0.6250, 0.2500)  2 Na 2.90, 2 Ca 3.06, 2 Zn 3.17
Zn (0.3750, 0.3889, 0.7500)  2 Na 2.90, 2 Ca 3.06, 2 Zn 3.17
Zn (0.8750, 0.8611, 0.7500)  2 Na 2.90, 2 Ca 3.06, 2 Zn 3.17
Ca (0.0000, 0.0000, 0.0000)  4 Zn 3.06, 2 Na 3.16
Ca (0.7500, 0.2500, 0.5000)  4 Zn 3.06, 2 Na 3.16

***

Record 6
The following is a DFT calculation (PBE) of a relaxed NaCa3Zn2 crystal.

**M_tot**: 0.00 μB per formula unit
**Total DFT energy (no corrections)**: -10.82 eV per cell
**Formation energy from the elements**: -0.16 eV per atom

Unit cell a=3.7280 b=3.7280 c=12.6788 alpha=90.00 beta=90.00 gamma=90.00
Last column: nearest neighbours and their distance in Å.
Fractional coordinates of all 6 atoms:
Na (0.5000, 0.5000, 0.5000)  4 Na 3.73, 8 Ca 3.83
Ca (0.0000, 0.0000, 0.0000)  8 Zn 3.21, 2 Ca 3.56
Ca (0.0000, 0.0000, 0.7194)  4 Zn 3.15
Ca (0.0000, 0.0000, 0.2806)  4 Zn 3.15
Zn (0.5000, 0.5000, 0.8551)  8 Ca 3.15-3.21
Zn (0.5000, 0.5000, 0.1449)  8 Ca 3.15-3.21

***

Record 7
The following is a DFT calculation (PBE) of a relaxed NaCa3Zn8 crystal.

**M_tot**: 0.00 μB per formula unit
**Total DFT energy (no corrections)**: -19.96 eV per cell
**Formation energy from the elements**: -0.20 eV per atom

Unit cell a=5.5077 b=5.5077 c=9.6762 alpha=73.47 beta=73.47 gamma=60.00
Last column: nearest neighbours and their distance in Å.
Fractional coordinates of all 12 atoms:
Na (0.8738, 0.8738, 0.3785)  12 Zn 3.22-3.26, 4 Ca 3.34-3.37
Ca (0.3766, 0.3766, 0.8703)  12 Zn 3.22-3.30, 4 Ca 3.43-3.46
Ca (0.9967, 0.9967, 0.0099)  12 Zn 3.19-3.34, 1 Na 3.37, 3 Ca 3.43
Ca (0.5027, 0.5027, 0.4920)  12 Zn 3.21-3.29, 3 Na 3.34, 1 Ca 3.46
Zn (0.9388, 0.4372, 0.1868)  6 Zn 2.75-2.76
Zn (0.4362, 0.9378, 0.6883)  6 Zn 2.74-2.81
Zn (0.4372, 0.4372, 0.1868)  6 Zn 2.75-2.76
Zn (0.9378, 0.9378, 0.6883)  6 Zn 2.74-2.81
Zn (0.1887, 0.1887, 0.4340)  6 Zn 2.76-2.81
Zn (0.6867, 0.6867, 0.9400)  6 Zn 2.76-2.80
Zn (0.4372, 0.9388, 0.1868)  6 Zn 2.75-2.76
Zn (0.9378, 0.4362, 0.6883)  6 Zn 2.74-2.81

***

Record 8
The following is a DFT calculation (PBE) of a relaxed NaCa5Zn4 crystal.

**M_tot**: 0.00 μB per formula unit
**Total DFT energy (no corrections)**: -18.27 eV per cell
**Formation energy from the elements**: -0.19 eV per atom

Unit cell a=3.6878 b=3.6878 c=20.2511 alpha=90.00 beta=90.00 gamma=90.00
Last column: nearest neighbours and their distance in Å.
Fractional coordinates of all 10 atoms:
Na (0.0000, 0.0000, 0.0000)  4 Na 3.69, 8 Ca 3.85
Ca (0.5000, 0.5000, 0.1401)  4 Zn 3.13
Ca (0.5000, 0.5000, 0.3189)  8 Zn 3.19-3.22
Ca (0.5000, 0.5000, 0.5000)  8 Zn 3.19
Ca (0.5000, 0.5000, 0.6811)  8 Zn 3.19-3.22
Ca (0.5000, 0.5000, 0.8599)  4 Zn 3.13
Zn (0.0000, 0.0000, 0.2260)  8 Ca 3.13-3.22
Zn (0.0000, 0.0000, 0.4094)  8 Ca 3.19
Zn (0.0000, 0.0000, 0.5906)  8 Ca 3.19
Zn (0.0000, 0.0000, 0.7740)  8 Ca 3.13-3.22

***

Record 9
The following is a DFT calculation (PBE) of a relaxed Na2CaZn2 crystal.

**M_tot**: 0.00 μB per formula unit
**E above lowest polymorph**: 123 meV per atom
**Total DFT energy (no corrections)**: -6.43 eV per cell
**Formation energy from the elements**: 0.15 eV per atom

Unit cell a=5.2687 b=5.2687 c=6.1907 alpha=64.82 beta=64.82 gamma=90.00
Last column: nearest neighbours and their distance in Å.
Fractional coordinates of all 5 atoms:
Na (0.3608, 0.3608, 0.2785)  1 Na 2.75, 4 Zn 2.85
Na (0.6392, 0.6392, 0.7215)  1 Na 2.75, 4 Zn 2.85
Zn (0.7500, 0.2500, 0.5000)  4 Na 2.85
Zn (0.2500, 0.7500, 0.5000)  4 Na 2.85
Ca (0.0000, 0.0000, 0.0000)  10 Na 3.57-3.97, 8 Zn 3.61

***

Record 10
The following is a DFT calculation (PBE) of a relaxed Na2CaZn crystal.

**M_tot**: 0.00 μB per formula unit
**E above lowest polymorph**: 110 meV per atom
**Total DFT energy (no corrections)**: -10.69 eV per cell
**Formation energy from the elements**: 0.14 eV per atom

Unit cell a=9.1831 b=9.1831 c=7.2078 alpha=50.43 beta=50.43 gamma=90.00
Last column: nearest neighbours and their distance in Å.
Fractional coordinates of all 8 atoms:
Na (0.6851, 0.1250, 0.2500)  2 Zn 2.99, 2 Na 3.32
Na (0.0649, 0.6250, 0.2500)  2 Zn 2.99, 2 Na 3.32
Na (0.3750, 0.3149, 0.7500)  2 Zn 2.99, 2 Na 3.32
Na (0.8750, 0.9351, 0.7500)  2 Zn 2.99, 2 Na 3.32
Zn (0.0000, 0.0000, 0.0000)  4 Na 2.99, 2 Ca 3.13
Zn (0.7500, 0.2500, 0.5000)  4 Na 2.99, 2 Ca 3.13
Ca (0.5000, 0.5000, 0.0000)  2 Zn 3.13
Ca (0.2500, 0.7500, 0.5000)  2 Zn 3.13

***

Record 11
The following is a DFT calculation (PBE) of a relaxed NaCaZn3 crystal.

**M_tot**: 0.00 μB per formula unit
**E above lowest polymorph**: 0 meV per atom
**Total DFT energy (no corrections)**: -5.21 eV per cell
**Formation energy from the elements**: 0.39 eV per atom

Unit cell a=5.0907 b=5.0907 c=5.0907 alpha=90.00 beta=90.00 gamma=90.00
Last column: nearest neighbours and their distance in Å.
Fractional coordinates of all 5 atoms:
Na (0.0000, 0.0000, 0.0000)  6 Zn 2.55
Zn (0.0000, 0.5000, 0.0000)  2 Na 2.55
Zn (0.0000, 0.0000, 0.5000)  2 Na 2.55
Zn (0.5000, 0.0000, 0.0000)  2 Na 2.55
Ca (0.5000, 0.5000, 0.5000)  12 Zn 3.60

***

Record 12
The following is a DFT calculation (PBE) of a relaxed NaCaZn2 crystal.

**M_tot**: 0.00 μB per formula unit
**E above lowest polymorph**: 0 meV per atom
**Total DFT energy (no corrections)**: -6.01 eV per cell
**Formation energy from the elements**: -0.04 eV per atom

Unit cell a=3.6481 b=3.6481 c=7.2605 alpha=90.00 beta=90.00 gamma=90.00
Last column: nearest neighbours and their distance in Å.
Fractional coordinates of all 4 atoms:
Na (0.5000, 0.5000, 0.5000)  8 Zn 3.13
Zn (0.0000, 0.0000, 0.7449)  4 Na 3.13, 4 Ca 3.18
Zn (0.0000, 0.0000, 0.2551)  4 Na 3.13, 4 Ca 3.18
Ca (0.5000, 0.5000, 0.0000)  8 Zn 3.18